# Na2TbHfSe4 (PBE-GGA, optimized geometry)
# * density of states at the Fermi level: 2.8 states/eV/f.u.
# * energy: -5.35 eV per atom
# * space group: P2/m (10)
data_Na2TbHfSe4
_chemical_formula_sum 'Na2 Tb1 Hf1 Se4'
_space_group_name_H-M_alt 'P 1'
_space_group_IT_number 1
_cell_length_a 6.927
_cell_length_b 3.970
_cell_length_c 7.440
_cell_angle_alpha 90.00
_cell_angle_beta 107.86
_cell_angle_gamma 90.00
loop_
_space_group_symop_operation_xyz
'x,y,z'
loop_
_atom_site_label
_atom_site_fract_x
_atom_site_fract_y
_atom_site_fract_z
Na1 0.000 0.000 0.000
Na2 0.500 0.500 0.000
Tb1 0.000 0.500 0.500
Hf1 0.500 0.000 0.500
Se1 0.258 0.000 0.730
Se2 0.273 0.500 0.276
Se3 0.727 0.500 0.724
Se4 0.742 0.000 0.270

# Na2Tb2HfSe6 (PBE-GGA, optimized geometry)
# * density of states at the Fermi level: 0.0 states/eV/f.u.
# * energy: -5.48 eV per atom
# * space group: C2/m (12)
data_Na2Tb2HfSe6
_chemical_formula_sum 'Na2 Tb2 Hf1 Se6'
_space_group_name_H-M_alt 'P 1'
_space_group_IT_number 1
_cell_length_a 6.998
_cell_length_b 6.998
_cell_length_c 7.475
_cell_angle_alpha 99.19
_cell_angle_beta 99.19
_cell_angle_gamma 119.45
loop_
_space_group_symop_operation_xyz
'x,y,z'
loop_
_atom_site_label
_atom_site_fract_x
_atom_site_fract_y
_atom_site_fract_z
Na1 0.170 0.830 0.000
Na2 0.830 0.170 0.000
Tb1 0.333 0.667 0.500
Tb2 0.667 0.333 0.500
Hf1 0.000 0.000 0.500
Se1 0.075 0.391 0.723
Se2 0.238 0.238 0.279
Se3 0.391 0.075 0.723
Se4 0.609 0.925 0.277
Se5 0.762 0.762 0.721
Se6 0.925 0.609 0.277